1.
Here is crystalline BaYIr2 at its relaxed geometry from OQMD via LeMat-Bulk. Energies are from PBE.

The structure in POSCAR format:
```
BaYIr2
1.0
1.3754 -4.5693 1.3441
-3.3882 -3.5997 0.3725
-0.0744 -3.6865 -3.3137
Y Ir Ba
1 2 1
Direct
0.2500 0.2500 0.2500
0.7500 0.7500 0.7500
0.0000 0.0000 0.0000
0.5000 0.5000 0.5000
```

Computed properties:
- symmetry = F-43m, No. 216

=====

2.
Here is crystalline KNi3S5 at its relaxed geometry from OQMD via LeMat-Bulk. Energies are from PBE.

The structure in POSCAR format:
```
KNi3S5
1.0
-3.3431 0.9874 4.0768
0.4358 -4.9710 -1.9673
5.0739 -1.3292 4.4826
S Ni K
5 3 1
Direct
0.3333 0.6667 0.7271
0.3333 0.6667 0.2729
0.6667 0.3333 0.2729
0.0000 0.0000 0.5000
0.6667 0.3333 0.7271
0.5000 0.0000 0.5000
0.5000 0.5000 0.5000
0.0000 0.5000 0.5000
0.0000 0.0000 0.0000
```

Computed properties:
- symmetry = P6/mmm, No. 191

=====

3.
Here is crystalline DyNbCCl2 at its relaxed geometry from OQMD via LeMat-Bulk. Energies are from PBE.

The structure in POSCAR format:
```
DyNbCCl2
1.0
-0.1358 1.7286 -2.9918
0.2461 -3.4492 -0.0057
-9.4120 -0.6717 0.0393
Cl Nb Dy C
2 1 1 1
Direct
0.3333 0.6667 0.1701
0.6667 0.3333 0.8128
0.3333 0.6667 0.6284
0.6667 0.3333 0.3668
0.0000 0.0000 0.5218
```

Computed properties:
- symmetry = P3m1, No. 156

=====

4.
Here is crystalline Y2HoFeCo2Ni6 at its relaxed geometry from OQMD via LeMat-Bulk. Energies are from PBE.

The structure in POSCAR format:
```
Y2HoFeCo2Ni6
1.0
-4.1863 6.4550 3.8637
-3.5636 2.9306 7.2685
0.1540 5.9949 6.1771
Co Ni Fe Y Ho
2 6 1 2 1
Direct
0.6669 0.6669 0.6669
0.3331 0.3331 0.3331
0.5808 0.0836 0.5808
0.4192 0.9164 0.4192
0.4192 0.4192 0.9164
0.0836 0.5808 0.5808
0.5808 0.5808 0.0836
0.9164 0.4192 0.4192
0.5000 0.5000 0.5000
0.1394 0.1394 0.1394
0.8606 0.8606 0.8606
0.0000 0.0000 0.0000
```

Computed properties:
- energy relative to the elements (meV/atom) = -242.4
- symmetry = R-3m, No. 166

=====

5.
Here is crystalline HfAuNO at its relaxed geometry from OQMD via LeMat-Bulk. Energies are from PBE.

The structure in POSCAR format:
```
HfAuNO
1.0
0.6715 3.0579 1.9907
5.4989 -1.4002 0.2958
1.0329 3.0069 -4.9672
Au N Hf O
2 2 2 2
Direct
0.5000 0.4843 0.7328
0.5000 0.9843 0.2672
0.0000 0.8442 0.3765
0.0000 0.3442 0.6235
0.0000 0.9911 0.6935
0.0000 0.4911 0.3065
0.5000 0.9344 0.8293
0.5000 0.4344 0.1707
```

Computed properties:
- ΔE to the lowest computed polymorph (meV/atom) = 385
- symmetry = Pmc2_1, No. 26

=====

6.
Here is crystalline NdBeTl at its relaxed geometry from OQMD via LeMat-Bulk. Energies are from PBE.

The structure in POSCAR format:
```
NdBeTl
1.0
0.0000 3.2881 3.2881
3.2881 0.0000 3.2881
3.2881 3.2881 0.0000
Be Nd Tl
1 1 1
Direct
0.0000 0.0000 0.0000
0.2500 0.2500 0.2500
0.7500 0.7500 0.7500
```

Computed properties:
- ΔE to the lowest computed polymorph (meV/atom) = 0
- symmetry = F-43m, No. 216

=====

7.
Here is crystalline HfZrZn2 at its relaxed geometry from OQMD via LeMat-Bulk. Energies are from PBE.

The structure in POSCAR format:
```
HfZrZn2
1.0
3.0675 0.0000 0.0000
0.0000 3.0675 0.0000
0.0000 0.0000 7.8839
Zn Zr Hf
2 1 1
Direct
0.0000 0.0000 0.4051
0.5000 0.5000 0.5980
0.5000 0.5000 0.1437
0.0000 0.0000 0.8532
```

Computed properties:
- ΔE to the lowest computed polymorph (meV/atom) = 0
- energy relative to the elements (meV/atom) = -158.7
- symmetry = P4mm, No. 99

=====

8.
Here is crystalline Pu4Bi2N at its relaxed geometry from OQMD via LeMat-Bulk. Energies are from PBE.

The structure in POSCAR format:
```
Pu4Bi2N
1.0
-3.7850 -5.1104 6.1774
-8.3427 -1.8219 2.3840
6.0072 0.8714 -6.4620
Pu N Bi
4 1 2
Direct
0.0000 0.5000 0.5000
0.1534 0.1534 0.0000
0.8466 0.8466 0.0000
0.5000 0.0000 0.5000
0.0000 0.0000 0.0000
0.3545 0.3545 0.0000
0.6455 0.6455 0.0000
```

Computed properties:
- symmetry = I4/mmm, No. 139

=====

9.
Here is crystalline BaZn at its relaxed geometry from OQMD via LeMat-Bulk. Energies are from PBE.

The structure in POSCAR format:
```
BaZn
1.0
-4.0824 -2.2180 -6.8268
5.4100 -6.9420 2.3715
-4.0858 -2.1148 3.1304
Ba Zn
6 6
Direct
0.6289 0.4432 0.5000
0.2610 0.2795 0.0000
0.1300 0.5311 0.5000
0.6315 0.8732 0.5000
0.2567 0.8494 0.0000
0.7596 0.1911 0.0000
0.8591 0.8630 0.0000
0.8610 0.5809 0.0000
0.0282 0.1410 0.5000
0.0287 0.8584 0.5000
0.5405 0.6377 0.0000
0.3480 0.0848 0.5000
```

Computed properties:
- symmetry = Pm, No. 6

=====

10.
Here is crystalline Y2Ga3Pd at its relaxed geometry from OQMD via LeMat-Bulk. Energies are from PBE.

The structure in POSCAR format:
```
Y2Ga3Pd
1.0
-5.0428 6.9948 2.0288
-2.1519 7.6962 -2.8513
-5.3592 -0.5086 -1.9197
Y Ga Pd
4 6 2
Direct
0.2500 0.2500 0.2500
0.2575 0.7425 0.7425
0.7500 0.7500 0.7500
0.7425 0.2575 0.2575
0.8343 0.8343 0.1657
0.1674 0.6658 0.3342
0.3342 0.8326 0.1674
0.6658 0.1674 0.8326
0.1657 0.1657 0.8343
0.8326 0.3342 0.6658
0.3318 0.3318 0.6682
0.6682 0.6682 0.3318
```

Computed properties:
- symmetry = Fmmm, No. 69

=====

11.
Here is crystalline Pa2AlBr2 at its relaxed geometry from OQMD via LeMat-Bulk. Energies are from PBE.

The structure in POSCAR format:
```
Pa2AlBr2
1.0
-2.7468 2.7468 5.8408
2.7468 -2.7468 5.8408
2.7468 2.7468 -5.8408
Pa Br Al
2 2 1
Direct
0.0000 0.5000 0.5000
0.5000 0.0000 0.5000
0.3571 0.3571 0.0000
0.6429 0.6429 0.0000
0.0000 0.0000 0.0000
```

Computed properties:
- symmetry = I4/mmm, No. 139

=====

12.
Here is crystalline Pu3PSe2 at its relaxed geometry from OQMD via LeMat-Bulk. Energies are from PBE.

The structure in POSCAR format:
```
Pu3PSe2
1.0
3.5652 -6.1615 0.0000
3.5652 6.1615 0.0000
-2.3766 0.0000 6.6992
Pu P Se
6 2 4
Direct
0.5000 0.0000 0.5000
0.1865 0.3438 0.5017
0.6562 0.8135 0.9983
0.3438 0.1865 0.0017
0.0000 0.5000 0.0000
0.8135 0.6562 0.4983
0.5875 0.4125 0.7500
0.4125 0.5875 0.2500
0.0828 0.9172 0.2500
0.7540 0.2460 0.2500
0.2460 0.7540 0.7500
0.9172 0.0828 0.7500
```

Computed properties:
- symmetry = C2/c, No. 15

=====

Number 1: E_tot -6.2350 eV per atom. Number 2: E_tot -4.6326 eV per atom. Number 3: E_tot -6.7259 eV per atom. Number 4: E_tot -6.3620 eV per atom. Number 5: E_tot -7.7549 eV per atom. Number 6: E_tot -3.6989 eV per atom. Number 7: E_tot -5.4167 eV per atom. Number 8: E_tot -11.1595 eV per atom. Number 9: E_tot -1.6836 eV per atom. Number 10: E_tot -5.3138 eV per atom. Number 11: E_tot -5.0105 eV per atom. Number 12: E_tot -10.6593 eV per atom.